(1)
Here is a relaxed Sm5Sc4Tl4 crystal from the Alexandria database. Energies are from PBE.

Cell: 4.784 9.132 9.132 Å, 86.07 74.81 74.81°
Atoms (fractional coordinates):
1 Sm 0.303 0.081 0.313
2 Sm 0.616 0.687 0.081
3 Sm 0.384 0.313 0.919
4 Sc 0.418 0.677 0.487
5 Sm 0.697 0.919 0.687
6 Sm 0.000 0.000 0.000
7 Tl 0.751 0.325 0.172
8 Tl 0.077 0.172 0.675
9 Sc 0.095 0.487 0.323
10 Tl 0.249 0.675 0.828
11 Tl 0.923 0.828 0.325
12 Sc 0.582 0.323 0.513
13 Sc 0.905 0.513 0.677

Energy of formation from the pure elements (meV per atom): -243
Fermi-level density of states (states/eV/atom): 1.189
Total magnetization (μB per formula unit): 0.00

---

(2)
Here is a relaxed ZnFeTeI2 crystal from the Alexandria database. Energies are from PBE.

Cell: 5.478 5.478 5.479 Å, 90.00 90.00 90.00°
Each line ends with the local moment (μB).
Atoms (fractional coordinates):
1 Fe 0.500 0.500 0.500  3.42
2 I 0.000 0.500 0.000  0.07
3 Te 0.000 0.000 0.500  0.10
4 I 0.500 0.000 0.000  0.07
5 Zn 0.000 0.000 0.000  0.00

Fermi-level density of states (states/eV/atom): 1.135
Energy above the lowest structure with this stoichiometry (meV per atom): 254
Total magnetization (μB per formula unit): 4.15

---

(3)
Here is a relaxed Ac6Co3I2 crystal from the Alexandria database. Energies are from PBE.

Cell: 7.355 7.363 9.058 Å, 82.16 74.14 60.03°
Atoms (fractional coordinates):
1 I 0.166 0.668 0.500
2 Co 0.000 0.000 0.000
3 Ac 0.728 0.000 0.824
4 Ac 0.058 0.335 0.823
5 Ac 0.942 0.665 0.177
6 Ac 0.272 0.000 0.176
7 I 0.834 0.332 0.500
8 Co 0.670 0.660 0.000
9 Ac 0.607 0.335 0.177
10 Co 0.330 0.340 0.000
11 Ac 0.393 0.665 0.823

Fermi-level density of states (states/eV/atom): 0.513
Total magnetization (μB per formula unit): 0.00
VASP energy (eV for the cell shown): -53.8

---

(4)
Here is a relaxed Mg2CdNi crystal from the Alexandria database. Energies are from PBE.

Cell: 4.990 4.990 4.990 Å, 132.78 128.08 72.78°
Atoms (fractional coordinates):
1 Mg 0.510 0.510 0.000
2 Ni 0.750 0.250 0.500
3 Cd 0.250 0.750 0.500
4 Mg 0.990 0.990 0.000

Energy of formation from the pure elements (meV per atom): -54
Fermi-level density of states (states/eV/atom): 0.461
Total magnetization (μB per formula unit): 0.00